NaAc2La after structural relaxation, computed with PBE-GGA.

For the polymorph energy (0 for the lowest one), the calculation gives 0.23 eV/f.u. As for the density: 5.851 Mg/m³. The calculation puts the total magnetization at 0.00 Bohr magnetons per cell. The calculation puts the density of states at the Fermi level at 4.8 states/eV/f.u.

Geometry as CIF:
```
data_NaAc2La
_chemical_formula_sum 'Na1 Ac2 La1'
_space_group_name_H-M_alt 'P 1'
_space_group_IT_number 1
_space_group_name_Hall 'P 1'
_cell_length_a 13.779
_cell_length_b 13.779
_cell_length_c 13.779
_cell_angle_alpha 16.07
_cell_angle_beta 16.07
_cell_angle_gamma 16.07
loop_
_atom_site_label
_atom_site_fract_x
_atom_site_fract_y
_atom_site_fract_z
_atom_site_occupancy
Na1 0.000 0.000 0.000 1
Ac1 0.091 0.091 0.091 1
Ac2 0.909 0.909 0.909 1
La1 0.500 0.500 0.500 1
```